Mg2TaCo | PBE | relaxed

As for the calculated volume: 17.32 A^3/atom. The value obtained for the energy is -5.3249 eV per atom. Its density is 6.91 g/cm3. The value obtained for the formation energy from the elements is 0.21 eV per atom.

a = 5.407 Å, b = 5.407 Å, c = 5.407 Å
α = 146.13°, β = 127.30°, γ = 64.13°
Positions (direct):
Mg1 0.000 0.000 0.000
Mg2 0.715 0.215 0.500
Ta1 0.289 0.789 0.500
Co1 0.482 0.482 0.000

---

Ac8Co3HI3 | PBE | relaxed

As for the calculated volume: 35.66 A^3/atom. The value obtained for the energy is -4.6175 eV per atom. Its density is 7.37 g/cm3.

a = 8.513 Å, b = 8.513 Å, c = 9.839 Å
α = 115.66°, β = 115.66°, γ = 60.03°
Positions (direct):
Ac1 0.220 0.731 0.683
Ac2 0.227 0.227 0.682
Ac3 0.269 0.269 0.317
Ac4 0.269 0.780 0.317
Ac5 0.731 0.220 0.683
Ac6 0.731 0.731 0.683
Ac7 0.773 0.773 0.318
Ac8 0.780 0.269 0.317
Co1 0.000 0.000 0.500
Co2 0.000 0.500 0.500
Co3 0.500 0.000 0.500
H1 0.500 0.500 0.500
I1 0.000 0.500 0.000
I2 0.500 0.000 0.000
I3 0.500 0.500 0.000

---

GaCuS3 | PBE | relaxed

As for the calculated volume: 24.29 A^3/atom. Its energy relative to the elements, uncorrected is -0.173 eV per atom. The value obtained for the energy is -4.0743 eV per atom. Its density is 3.14 g/cm3.

a = 3.649 Å, b = 6.722 Å, c = 6.722 Å
α = 47.45°, β = 90.00°, γ = 90.00°
Positions (direct):
Ga1 0.000 0.000 0.000
Cu1 0.500 0.282 0.282
S1 0.000 0.183 0.183
S2 0.500 0.202 0.678
S3 0.500 0.678 0.202

---

VNiTeI2 | PBE | relaxed

As for the calculated volume: 32.34 A^3/atom. Its energy relative to the elements, uncorrected is 0.685 eV per atom. The value obtained for the energy is -3.5433 eV per atom. Its density is 5.04 g/cm3.

a = 5.606 Å, b = 5.606 Å, c = 5.145 Å
α = 90.00°, β = 90.00°, γ = 90.00°
Positions (direct):
V1 0.000 0.000 0.000
Ni1 0.500 0.500 0.500
Te1 0.000 0.000 0.500
I1 0.000 0.500 0.000
I2 0.500 0.000 0.000

---

VBi2B | PBE | relaxed

As for the calculated volume: 22.86 A^3/atom. The value obtained for the energy is -4.9431 eV per atom. Its density is 8.71 g/cm3. The value obtained for the formation energy from the elements is 0.95 eV per atom.

a = 6.208 Å, b = 6.208 Å, c = 6.208 Å
α = 112.31°, β = 112.31°, γ = 103.93°
Positions (direct):
V1 0.000 0.000 0.000
V2 0.750 0.250 0.500
Bi1 0.181 0.625 0.056
Bi2 0.375 0.431 0.556
Bi3 0.569 0.125 0.944
Bi4 0.875 0.819 0.444
B1 0.250 0.750 0.500
B2 0.500 0.500 0.000

---

MgScAl | PBE | relaxed

As for the calculated volume: 20.53 A^3/atom. The value obtained for the energy is -4.0924 eV per atom. Its density is 2.60 g/cm3. The value obtained for the formation energy from the elements is -0.20 eV per atom.

a = 6.910 Å, b = 6.910 Å, c = 4.305 Å
α = 90.00°, β = 90.00°, γ = 143.19°
Positions (direct):
Mg1 0.160 0.840 0.000
Mg2 0.840 0.160 0.000
Sc1 0.349 0.651 0.500
Sc2 0.651 0.349 0.500
Al1 0.000 0.000 0.500
Al2 0.500 0.500 0.000

---

MgSiP2O | PBE | relaxed

As for the calculated volume: 17.73 A^3/atom. Its energy relative to the elements, uncorrected is 0.501 eV per atom. The value obtained for the energy is -4.0577 eV per atom. Its density is 2.44 g/cm3.

a = 4.975 Å, b = 4.975 Å, c = 3.582 Å
α = 90.00°, β = 90.00°, γ = 90.00°
Positions (direct):
Mg1 0.000 0.000 0.000
Si1 0.500 0.500 0.500
P1 0.000 0.500 0.000
P2 0.500 0.000 0.000
O1 0.000 0.000 0.500

---

Al7Mo6 | PBE | relaxed

As for the calculated volume: 15.02 A^3/atom. The value obtained for the energy is -7.1432 eV per atom. Its density is 6.50 g/cm3. The value obtained for the formation energy from the elements is -0.13 eV per atom.

a = 9.303 Å, b = 9.303 Å, c = 9.303 Å
α = 31.51°, β = 31.51°, γ = 31.51°
Positions (direct):
Al1 0.000 0.000 0.000
Al2 0.089 0.089 0.583
Al3 0.089 0.583 0.089
Al4 0.417 0.911 0.911
Al5 0.583 0.089 0.089
Al6 0.911 0.417 0.911
Al7 0.911 0.911 0.417
Mo1 0.167 0.167 0.167
Mo2 0.353 0.353 0.353
Mo3 0.453 0.453 0.453
Mo4 0.547 0.547 0.547
Mo5 0.647 0.647 0.647
Mo6 0.833 0.833 0.833

---

Ce2PuTcN4 | PBE | relaxed

As for the calculated volume: 14.60 A^3/atom. Its energy relative to the elements, uncorrected is -1.006 eV per atom. The value obtained for the energy is -9.7392 eV per atom. Its density is 9.65 g/cm3.

a = 6.148 Å, b = 6.148 Å, c = 11.728 Å
α = 90.00°, β = 90.00°, γ = 148.21°
Positions (direct):
Ce1 0.132 0.868 0.550
Ce2 0.132 0.868 0.950
Ce3 0.868 0.132 0.050
Ce4 0.868 0.132 0.450
Pu1 0.386 0.614 0.750
Pu2 0.614 0.386 0.250
Tc1 0.354 0.646 0.250
Tc2 0.646 0.354 0.750
N1 0.036 0.964 0.750
N2 0.225 0.775 0.133
N3 0.225 0.775 0.367
N4 0.500 0.500 0.000
N5 0.500 0.500 0.500
N6 0.775 0.225 0.633
N7 0.775 0.225 0.867
N8 0.964 0.036 0.250

---

YCrAsBr2 | PBE | relaxed

As for the calculated volume: 25.27 A^3/atom. Its energy relative to the elements, uncorrected is -0.348 eV per atom. The value obtained for the energy is -5.1646 eV per atom. Its density is 4.94 g/cm3.

a = 4.892 Å, b = 4.892 Å, c = 5.281 Å
α = 90.00°, β = 90.00°, γ = 90.00°
Positions (direct):
Y1 0.000 0.000 0.000
Cr1 0.500 0.500 0.500
As1 0.500 0.500 0.000
Br1 0.000 0.500 0.500
Br2 0.500 0.000 0.500

---

NaNpIO6 | PBE | relaxed

As for the calculated volume: 15.67 A^3/atom. Its energy relative to the elements, uncorrected is -1.586 eV per atom. The value obtained for the energy is -6.6478 eV per atom. Its density is 5.69 g/cm3.

a = 5.649 Å, b = 5.649 Å, c = 10.205 Å
α = 90.00°, β = 90.00°, γ = 120.00°
Positions (direct):
Na1 0.000 0.000 0.000
Na2 0.000 0.000 0.500
Np1 0.333 0.667 0.250
Np2 0.667 0.333 0.750
I1 0.333 0.667 0.750
I2 0.667 0.333 0.250
O1 0.001 0.368 0.143
O2 0.001 0.634 0.357
O3 0.366 0.368 0.357
O4 0.366 0.999 0.143
O5 0.368 0.001 0.643
O6 0.368 0.366 0.857
O7 0.632 0.634 0.143
O8 0.632 0.999 0.357
O9 0.634 0.001 0.857
O10 0.634 0.632 0.643
O11 0.999 0.366 0.643
O12 0.999 0.632 0.857

---

SrAcNbN3 | PBE | relaxed

As for the calculated volume: 17.46 A^3/atom. Its energy relative to the elements, uncorrected is -0.950 eV per atom. The value obtained for the energy is -7.7564 eV per atom. Its density is 7.13 g/cm3.

a = 7.377 Å, b = 7.377 Å, c = 7.537 Å
α = 104.78°, β = 104.78°, γ = 31.99°
Positions (direct):
Sr1 0.160 0.160 0.081
Sr2 0.840 0.840 0.919
Ac1 0.147 0.147 0.573
Ac2 0.853 0.853 0.427
Nb1 0.500 0.500 0.215
Nb2 0.500 0.500 0.785
N1 0.002 0.002 0.267
N2 0.347 0.347 0.662
N3 0.352 0.352 0.182
N4 0.648 0.648 0.818
N5 0.653 0.653 0.338
N6 0.998 0.998 0.733

---

Zn2NiRu | PBE | relaxed

As for the calculated volume: 13.32 A^3/atom. The value obtained for the energy is -4.3783 eV per atom. Its density is 9.06 g/cm3. The value obtained for the formation energy from the elements is 0.02 eV per atom.

a = 2.638 Å, b = 2.638 Å, c = 8.318 Å
α = 90.00°, β = 90.00°, γ = 113.03°
Positions (direct):
Zn1 0.000 0.000 0.238
Zn2 0.000 0.000 0.762
Ni1 0.500 0.500 0.000
Ru1 0.500 0.500 0.500

---

KTlIr2 | PBE | relaxed

As for the calculated volume: 24.74 A^3/atom. The value obtained for the energy is -4.9410 eV per atom. Its density is 10.54 g/cm3. The value obtained for the formation energy from the elements is 0.36 eV per atom.

a = 4.586 Å, b = 4.586 Å, c = 7.824 Å
α = 96.68°, β = 96.68°, γ = 37.29°
Positions (direct):
K1 0.000 0.000 0.000
Tl1 0.769 0.769 0.354
Ir1 0.242 0.242 0.686
Ir2 0.503 0.503 0.603

---

InSbH2 | PBE | relaxed

As for the calculated volume: 18.41 A^3/atom. The value obtained for the energy is -2.9444 eV per atom. Its density is 5.38 g/cm3.

a = 7.095 Å, b = 7.095 Å, c = 7.095 Å
α = 139.84°, β = 139.84°, γ = 58.10°
Positions (direct):
In1 0.000 0.000 0.000
In2 0.750 0.250 0.500
Sb1 0.250 0.750 0.500
Sb2 0.500 0.500 0.000
H1 0.302 0.625 0.177
H2 0.375 0.552 0.677
H3 0.448 0.125 0.823
H4 0.875 0.698 0.323

---

SnSb2RhCl | PBE | relaxed

As for the calculated volume: 27.62 A^3/atom. Its energy relative to the elements, uncorrected is 0.995 eV per atom. The value obtained for the energy is -3.2937 eV per atom. Its density is 6.02 g/cm3.

a = 5.170 Å, b = 5.170 Å, c = 5.166 Å
α = 90.00°, β = 90.00°, γ = 90.00°
Positions (direct):
Sn1 0.000 0.000 0.000
Sb1 0.000 0.500 0.500
Sb2 0.500 0.000 0.500
Rh1 0.500 0.500 0.000
Cl1 0.000 0.000 0.500

---

Sr2MnCd | PBE | relaxed

As for the calculated volume: 33.00 A^3/atom. The value obtained for the energy is -3.1808 eV per atom. Its density is 4.31 g/cm3. The value obtained for the formation energy from the elements is 0.18 eV per atom.

a = 3.810 Å, b = 3.810 Å, c = 9.094 Å
α = 90.00°, β = 90.00°, γ = 90.00°
Positions (direct):
Sr1 0.000 0.000 0.000
Sr2 0.500 0.500 0.378
Mn1 0.500 0.500 0.753
Cd1 0.000 0.000 0.628

---

InH6Pd12 | PBE | relaxed

As for the calculated volume: 13.16 A^3/atom. The value obtained for the energy is -4.4092 eV per atom. Its density is 9.28 g/cm3.

a = 6.523 Å, b = 6.523 Å, c = 6.523 Å
α = 103.50°, β = 103.50°, γ = 103.50°
Positions (direct):
In1 0.000 0.000 0.000
H1 0.153 0.153 0.493
H2 0.153 0.493 0.153
H3 0.493 0.153 0.153
H4 0.507 0.847 0.847
H5 0.847 0.507 0.847
H6 0.847 0.847 0.507
Pd1 0.133 0.500 0.867
Pd2 0.133 0.867 0.500
Pd3 0.184 0.453 0.453
Pd4 0.453 0.184 0.453
Pd5 0.453 0.453 0.184
Pd6 0.500 0.133 0.867
Pd7 0.500 0.867 0.133
Pd8 0.547 0.547 0.816
Pd9 0.547 0.816 0.547
Pd10 0.816 0.547 0.547
Pd11 0.867 0.133 0.500
Pd12 0.867 0.500 0.133

---

LiMn2Te | PBE | relaxed

As for the calculated volume: 18.03 A^3/atom. Its energy relative to the elements, uncorrected is 0.261 eV per atom. The value obtained for the energy is -5.5880 eV per atom. Its density is 5.63 g/cm3.

a = 2.997 Å, b = 4.909 Å, c = 4.902 Å
α = 90.00°, β = 91.37°, γ = 90.00°
Positions (direct):
Li1 0.000 0.000 0.000
Mn1 0.279 0.500 0.751
Mn2 0.721 0.500 0.249
Te1 0.500 0.000 0.500

---

AcEuCu | PBE | relaxed

As for the calculated volume: 33.90 A^3/atom. The value obtained for the energy is -6.0743 eV per atom. Its density is 7.23 g/cm3. The value obtained for the formation energy from the elements is 0.09 eV per atom.

a = 5.239 Å, b = 5.239 Å, c = 5.239 Å
α = 60.00°, β = 60.00°, γ = 60.00°
Positions (direct):
Ac1 0.000 0.000 0.000
Eu1 0.500 0.500 0.500
Cu1 0.250 0.250 0.250